Version A
Hf2CdGe2 (PBE, relaxed); DOS at the Fermi energy = 0.1547 states/eV per atom; space-group type = P4/mbm; total magnetic moment = 0.0 μB per formula unit
1.0
-0.611 2.171 -6.950
-7.062 1.519 1.096
0.878 3.378 0.978
Ge Hf Cd
4 4 2
direct
0.358 0.858 0.000
0.858 0.642 0.000
0.642 0.142 0.000
0.142 0.358 0.000
0.157 0.657 0.500
0.657 0.843 0.500
0.843 0.343 0.500
0.343 0.157 0.500
0.000 0.000 0.000
0.500 0.500 0.000

---

Version B
Hf2CdGe2 (PBE, relaxed); DOS at the Fermi energy = 0.6039 states/eV per atom; space-group type = P4/mbm; total magnetic moment = 0.0 μB per formula unit
1.0
-4.772 1.965 -6.194
-6.417 -2.635 4.108
-0.399 2.873 1.219
Ge Hf Cd
4 4 2
direct
0.159 0.659 0.500
0.659 0.841 0.500
0.841 0.341 0.500
0.341 0.159 0.500
0.363 0.863 0.000
0.863 0.637 0.000
0.637 0.137 0.000
0.137 0.363 0.000
0.000 0.000 0.000
0.500 0.500 0.000

---

Of them, the most stable is version A and the least stable is version B.

---

Version A
Cd2Hg2Ge (PBE, relaxed); DOS at the Fermi energy = 0.4749 states/eV per atom; space-group type = P4/mbm; total magnetic moment = 0.0 μB per formula unit
1.0
8.161 0.000 0.000
0.000 8.161 0.000
0.000 0.000 3.590
Ge Hg Cd
2 4 4
direct
0.000 0.000 0.000
0.500 0.500 0.000
0.356 0.856 0.000
0.856 0.644 0.000
0.644 0.144 0.000
0.144 0.356 0.000
0.157 0.657 0.500
0.657 0.843 0.500
0.843 0.343 0.500
0.343 0.157 0.500

---

Version B
Cd2Hg2Ge (PBE, relaxed); DOS at the Fermi energy = 0.3951 states/eV per atom; space-group type = I4/mmm; total magnetic moment = 0.0 μB per formula unit
1.0
-2.067 3.418 0.869
-1.172 0.284 -3.906
-7.683 -2.204 0.006
Ge Hg Cd
1 2 2
direct
0.000 0.000 0.000
0.750 0.250 0.500
0.250 0.750 0.500
0.406 0.406 0.188
0.594 0.594 0.812

---

Of them, the most stable is version A and the least stable is version B.

---

Version A
CdHgGe2 (PBE, relaxed); DOS at the Fermi energy = 0.2197 states/eV per atom; space-group type = Fm-3m; total magnetic moment = 0.0 μB per formula unit
1.0
4.169 -0.877 -2.590
2.673 -4.111 0.896
0.118 -3.679 -3.363
Ge Hg Cd
2 1 1
direct
0.250 0.250 0.250
0.750 0.750 0.750
0.500 0.500 0.500
0.000 0.000 0.000

---

Version B
CdHgGe2 (PBE, relaxed); DOS at the Fermi energy = 0.5576 states/eV per atom; space-group type = I-42d; total magnetic moment = 0.0 μB per formula unit
1.0
7.925 0.000 0.000
0.000 7.925 0.000
3.962 3.962 2.884
Ge Hg Cd
4 2 2
direct
0.630 0.125 0.250
0.120 0.625 0.250
0.375 0.370 0.750
0.875 0.880 0.750
0.000 0.000 0.000
0.750 0.250 0.500
0.500 0.500 0.000
0.250 0.750 0.500

---

Of them, the most stable is version B and the least stable is version A.

---

Version A
Cd3HgGe (PBE, relaxed); DOS at the Fermi energy = 0.8062 states/eV per atom; space-group type = Pm-3m; total magnetic moment = 0.0 μB per formula unit
1.0
-0.716 -4.850 2.131
5.245 -0.347 0.972
-0.743 2.221 4.805
Ge Hg Cd
1 1 3
direct
0.000 0.000 0.000
0.500 0.500 0.500
0.000 0.500 0.000
0.000 0.000 0.500
0.500 0.000 0.000

---

Version B
Cd3HgGe (PBE, relaxed); DOS at the Fermi energy = 0.6605 states/eV per atom; space-group type = Pm-3m; total magnetic moment = 0.0 μB per formula unit
1.0
-0.233 2.605 -4.653
1.608 -4.406 -2.547
-5.084 -1.513 -0.593
Ge Hg Cd
1 1 3
direct
0.500 0.500 0.500
0.000 0.000 0.000
0.000 0.500 0.000
0.000 0.000 0.500
0.500 0.000 0.000

---

Of them, the most stable is version A and the least stable is version B.

---

Version A
Cd2HgGeI (PBE, relaxed); DOS at the Fermi energy = 0.1304 states/eV per atom; space-group type = P4/mmm; total magnetic moment = 0.0 μB per formula unit
1.0
-2.060 4.969 0.256
-4.974 -2.063 0.007
0.104 -0.232 5.340
I Ge Hg Cd
1 1 1 2
direct
0.500 0.500 0.500
0.000 0.000 0.000
0.000 0.000 0.500
0.000 0.500 0.000
0.500 0.000 0.000

---

Version B
Cd2HgGeI (PBE, relaxed); DOS at the Fermi energy = 0.3131 states/eV per atom; space-group type = P4/mmm; total magnetic moment = 0.0 μB per formula unit
1.0
5.361 0.000 0.000
0.000 5.966 0.000
0.000 0.000 5.361
I Ge Hg Cd
1 1 1 2
direct
0.000 0.500 0.000
0.000 0.000 0.000
0.500 0.500 0.500
0.000 0.000 0.500
0.500 0.000 0.000

---

Of them, the most stable is version A and the least stable is version B.

---

Version A
CdHgGeMo (PBE, relaxed); DOS at the Fermi energy = 0.5248 states/eV per atom; space-group type = P4mm; total magnetic moment = 0.0 μB per formula unit
1.0
-0.304 -2.811 1.843
1.620 -1.744 -2.393
6.003 1.364 3.070
Cd Hg Ge Mo
1 1 1 1
direct
0.500 0.500 0.071
0.000 0.000 0.792
0.500 0.500 0.487
0.000 0.000 0.353

---

Version B
CdHgGeMo (PBE, relaxed); DOS at the Fermi energy = 0.6507 states/eV per atom; space-group type = P1; total magnetic moment = 0.4 μB per formula unit
1.0
-0.210 -2.985 0.511
2.947 0.591 -4.441
2.722 0.580 4.676
Cd Hg Ge Mo
1 1 1 1
direct
0.696 0.374 0.137
0.926 0.841 0.010
0.463 0.910 0.559
0.182 0.354 0.591

---

Version C
CdHgGeMo (PBE, relaxed); DOS at the Fermi energy = 0.6380 states/eV per atom; space-group type = Imm2; total magnetic moment = 0.0 μB per formula unit
1.0
3.159 0.000 0.000
0.000 2.850 0.000
0.000 0.000 17.541
Cd Hg Ge Mo
2 2 2 2
direct
0.000 0.500 0.480
0.500 0.000 0.980
0.000 0.500 0.110
0.500 0.000 0.610
0.000 0.500 0.327
0.500 0.000 0.827
0.000 0.500 0.731
0.500 0.000 0.231

---

Version D
CdHgGeMo (PBE, relaxed); DOS at the Fermi energy = 0.4324 states/eV per atom; space-group type = P1; total magnetic moment = 0.0 μB per formula unit
1.0
-1.599 2.124 -1.080
-2.815 -0.870 0.516
-0.580 5.530 7.961
Cd Hg Ge Mo
1 1 1 1
direct
0.320 0.178 0.921
0.677 0.178 0.202
0.538 0.177 0.490
0.942 0.679 0.684

---

Of them, the most stable is version D and the least stable is version B.

---

Version A
Cd2NiHgGe (PBE, relaxed); DOS at the Fermi energy = 0.1880 states/eV per atom; space-group type = P4/mmm; total magnetic moment = 0.0 μB per formula unit
1.0
5.289 0.000 0.000
0.000 4.469 0.000
0.000 0.000 5.289
Ni Ge Hg Cd
1 1 1 2
direct
0.000 0.500 0.000
0.000 0.000 0.000
0.500 0.500 0.500
0.000 0.000 0.500
0.500 0.000 0.000

---

Version B
Cd2NiHgGe (PBE, relaxed); DOS at the Fermi energy = 0.2088 states/eV per atom; space-group type = P4/mmm; total magnetic moment = 0.0 μB per formula unit
1.0
5.127 0.000 0.000
0.000 5.127 0.000
0.000 0.000 4.409
Ni Ge Hg Cd
1 1 1 2
direct
0.000 0.000 0.000
0.000 0.000 0.500
0.500 0.500 0.500
0.000 0.500 0.000
0.500 0.000 0.000

---

Of them, the most stable is version B and the least stable is version A.